No. 1
This record from Alexandria via LeMat-Bulk describes a relaxed structure of KAl2CrCl8. The functional is PBE.

a b c (Å): 6.424 6.424 10.112
angles (deg): 71.48 71.48 60.00
Sites, in units of the cell vectors:
1 Cl 0.176 0.176 0.473
2 Cl 0.597 0.276 0.173
3 Cl 0.403 0.724 0.827
4 Cl 0.276 0.954 0.173
5 Cl 0.046 0.403 0.827
6 Cl 0.724 0.046 0.827
7 Cl 0.824 0.824 0.527
8 Cl 0.954 0.597 0.173
9 K 0.500 0.500 0.500
10 Cr 0.000 0.000 0.000
11 Al 0.252 0.252 0.243
12 Al 0.748 0.748 0.757

The value obtained for the density is 2.12 g/cm³. Its raw formation energy is -1.38 eV/atom. For the volume, the calculation gives 336.2 Å³ per cell. Its total magnetic moment is 5.00 μB/f.u.

=====

No. 2
This record from Alexandria via LeMat-Bulk describes a relaxed structure of HoTcB2. The functional is PBE.

a b c (Å): 5.283 5.945 6.429
angles (deg): 90.00 90.00 90.00
Sites, in units of the cell vectors:
1 Tc 0.750 0.318 0.686
2 Tc 0.750 0.818 0.814
3 Tc 0.250 0.182 0.186
4 Tc 0.250 0.682 0.314
5 B 0.078 0.870 0.036
6 B 0.922 0.630 0.536
7 B 0.922 0.130 0.964
8 B 0.578 0.130 0.964
9 B 0.078 0.370 0.464
10 B 0.578 0.630 0.536
11 B 0.422 0.870 0.036
12 B 0.422 0.370 0.464
13 Ho 0.750 0.986 0.339
14 Ho 0.250 0.514 0.839
15 Ho 0.250 0.014 0.661
16 Ho 0.750 0.486 0.161

The value obtained for the density is 9.36 g/cm³. For the volume, the calculation gives 201.9 Å³ per cell. Its total magnetic moment is 0.00 μB/f.u. For the energy above the most stable polymorph in this dataset, the calculation gives 0.00 kJ per mole of atoms.

=====

No. 3
This record from Alexandria via LeMat-Bulk describes a relaxed structure of Ho4Te2AsIr. The functional is PBE.

a b c (Å): 4.164 7.288 7.480
angles (deg): 108.68 90.00 90.00
Sites, in units of the cell vectors:
1 As 0.000 0.000 0.000
2 Ho 0.000 0.274 0.792
3 Ho 0.000 0.726 0.208
4 Ho 0.500 0.250 0.213
5 Ho 0.500 0.750 0.787
6 Ir 0.500 0.500 0.000
7 Te 0.500 0.000 0.500
8 Te 0.000 0.500 0.500

The value obtained for the density is 9.13 g/cm³. Its raw formation energy is -1.24 eV/atom. For the volume, the calculation gives 215.1 Å³ per cell. Its total magnetic moment is 0.00 μB/f.u.

=====

No. 4
This record from Alexandria via LeMat-Bulk describes a relaxed structure of KTcNiCl6. The functional is PBE.

a b c (Å): 6.345 6.345 13.962
angles (deg): 90.00 90.00 120.00
Sites, in units of the cell vectors:
1 Ni 0.667 0.333 0.750
2 Ni 0.333 0.667 0.250
3 Cl 0.996 0.372 0.152
4 Cl 0.376 0.004 0.152
5 Cl 0.004 0.628 0.848
6 Cl 0.624 0.996 0.848
7 Cl 0.628 0.624 0.152
8 Cl 0.372 0.376 0.848
9 Cl 0.376 0.372 0.348
10 Cl 0.004 0.376 0.652
11 Cl 0.628 0.004 0.348
12 Cl 0.996 0.624 0.348
13 Cl 0.372 0.996 0.652
14 Cl 0.624 0.628 0.652
15 Tc 0.667 0.333 0.250
16 Tc 0.333 0.667 0.750
17 K 0.000 0.000 0.000
18 K 0.000 0.000 0.500

The value obtained for the density is 2.79 g/cm³. Its raw formation energy is -0.90 eV/atom. For the volume, the calculation gives 486.8 Å³ per cell. Its total magnetic moment is 4.00 μB/f.u.

=====

- What is the total magnetic moment in the fourth record?
  4.00 μB/f.u.